Entry 1:
The following is a PBE calculation of a relaxed ZnCr2Se crystal, from Alexandria.

The excess energy over the best structure of this formula in the dataset is 156 meV per atom. As for the raw total energy: -5.709 eV/atom. For the uncorrected formation energy, the calculation gives 1.17 eV per formula unit.

The structure in POSCAR format:
```
ZnCr2Se
1.0
4.835 -1.632 0.000
4.835 1.632 0.000
-1.061 0.000 4.098
Zn Cr Se
1 2 1
Direct
0.000 0.000 0.000 Zn
0.257 0.257 0.900 Cr
0.494 0.494 0.501 Cr
0.760 0.760 0.421 Se
```


Entry 2:
The following is a PBE calculation of a relaxed ZnCrSe crystal, from Alexandria.

The excess energy over the best structure of this formula in the dataset is 37 meV per atom. As for the raw total energy: -4.722 eV/atom. For the uncorrected formation energy, the calculation gives 0.22 eV per formula unit.

The structure in POSCAR format:
```
ZnCrSe
1.0
3.596 0.000 0.000
-1.798 3.114 0.000
0.000 0.000 5.238
Zn Cr Se
1 1 1
Direct
0.000 0.000 0.000 Zn
0.667 0.333 0.364 Cr
0.333 0.667 0.643 Se
```


Entry 3:
The following is a PBE calculation of a relaxed ZnCrSe2 crystal, from Alexandria.

As for the raw total energy: -4.827 eV/atom. For the uncorrected formation energy, the calculation gives -1.44 eV per formula unit.

The structure in POSCAR format:
```
ZnCrSe2
1.0
4.406 0.000 0.000
-2.203 3.815 0.000
0.000 0.000 5.429
Zn Cr Se
1 1 2
Direct
0.000 0.000 0.000 Zn
0.333 0.667 0.500 Cr
0.000 0.000 0.500 Se
0.333 0.667 0.000 Se
```


Entry 4:
The following is a PBE calculation of a relaxed ZnCrSe2 crystal, from Alexandria.

As for the raw total energy: -4.064 eV/atom. For the uncorrected formation energy, the calculation gives 1.61 eV per formula unit.

The structure in POSCAR format:
```
ZnCrSe2
1.0
0.000 3.345 3.345
3.345 0.000 3.345
3.345 3.345 0.000
Zn Cr Se
1 1 2
Direct
0.000 0.000 0.000 Zn
0.250 0.250 0.250 Cr
0.500 0.500 0.500 Se
0.750 0.750 0.750 Se
```


Entry 5:
The following is a PBE calculation of a relaxed ZnCrSe2 crystal, from Alexandria.

As for the raw total energy: -4.529 eV/atom. For the uncorrected formation energy, the calculation gives -0.25 eV per formula unit.

The structure in POSCAR format:
```
ZnCrSe2
1.0
1.799 -3.921 0.000
1.799 3.921 0.000
0.000 0.000 7.147
Zn Cr Se
1 1 2
Direct
0.000 0.000 0.000 Zn
0.000 0.000 0.500 Cr
0.500 0.500 0.249 Se
0.500 0.500 0.751 Se
```


Entry 6:
The following is a PBE calculation of a relaxed Zn4CrSe crystal, from Alexandria.

As for the raw total energy: -2.759 eV/atom. For the uncorrected formation energy, the calculation gives 1.65 eV per formula unit.

The structure in POSCAR format:
```
Zn4CrSe
1.0
0.000 3.684 3.684
3.684 0.000 3.684
3.684 3.684 0.000
Zn Cr Se
4 1 1
Direct
0.124 0.124 0.124 Zn
0.124 0.124 0.627 Zn
0.124 0.627 0.124 Zn
0.627 0.124 0.124 Zn
0.750 0.750 0.750 Cr
0.500 0.500 0.500 Se
```


Entry 7:
The following is a PBE calculation of a relaxed ZnCrSe2 crystal, from Alexandria.

As for the raw total energy: -4.663 eV/atom. For the uncorrected formation energy, the calculation gives -0.79 eV per formula unit.

The structure in POSCAR format:
```
ZnCrSe2
1.0
-1.746 1.774 6.229
1.746 -1.774 6.229
1.746 1.774 -6.229
Zn Cr Se
1 1 2
Direct
0.000 0.000 0.000 Zn
0.738 0.238 0.500 Cr
0.321 0.821 0.500 Se
0.578 0.578 0.000 Se
```


Entry 8:
The following is a PBE calculation of a relaxed ZnCrSe2 crystal, from Alexandria.

As for the raw total energy: -4.456 eV/atom. For the uncorrected formation energy, the calculation gives 0.04 eV per formula unit.

The structure in POSCAR format:
```
ZnCrSe2
1.0
2.926 0.000 0.000
0.000 2.983 0.000
-0.445 0.000 8.861
Zn Cr Se
1 1 2
Direct
0.000 0.000 0.000 Zn
0.500 0.000 0.500 Cr
0.025 0.500 0.669 Se
0.975 0.500 0.331 Se
```


Entry 9:
The following is a PBE calculation of a relaxed Zn3CrSe crystal, from Alexandria.

The excess energy over the best structure of this formula in the dataset is 0 meV per atom. As for the raw total energy: -2.637 eV/atom. For the uncorrected formation energy, the calculation gives 3.74 eV per formula unit.

The structure in POSCAR format:
```
Zn3CrSe
1.0
4.916 0.000 0.000
0.000 4.916 0.000
0.000 0.000 4.916
Zn Cr Se
3 1 1
Direct
0.000 0.000 0.500 Zn
0.000 0.500 0.000 Zn
0.500 0.000 0.000 Zn
0.000 0.000 0.000 Cr
0.500 0.500 0.500 Se
```


Entry 10:
The following is a PBE calculation of a relaxed Zn3CrSe crystal, from Alexandria.

The excess energy over the best structure of this formula in the dataset is 65 meV per atom. As for the raw total energy: -2.572 eV/atom. For the uncorrected formation energy, the calculation gives 4.07 eV per formula unit.

The structure in POSCAR format:
```
Zn3CrSe
1.0
4.935 0.000 0.000
0.000 4.935 0.000
0.000 0.000 4.935
Zn Cr Se
3 1 1
Direct
0.000 0.000 0.500 Zn
0.000 0.500 0.000 Zn
0.500 0.000 0.000 Zn
0.500 0.500 0.500 Cr
0.000 0.000 0.000 Se
```


Entry 11:
The following is a PBE calculation of a relaxed ZnCrSe2 crystal, from Alexandria.

As for the raw total energy: -4.841 eV/atom. For the uncorrected formation energy, the calculation gives -1.50 eV per formula unit.

The structure in POSCAR format:
```
ZnCrSe2
1.0
3.782 0.000 0.000
0.000 3.782 0.000
0.000 0.000 5.348
Zn Cr Se
1 1 2
Direct
0.000 0.000 0.000 Zn
0.500 0.500 0.500 Cr
0.000 0.000 0.500 Se
0.500 0.500 0.000 Se
```


Entry 12:
The following is a PBE calculation of a relaxed ZnCrSe2 crystal, from Alexandria.

As for the raw total energy: -4.437 eV/atom. For the uncorrected formation energy, the calculation gives 0.12 eV per formula unit.

The structure in POSCAR format:
```
ZnCrSe2
1.0
3.253 0.000 0.000
0.000 3.253 0.000
0.000 0.000 6.753
Zn Cr Se
1 1 2
Direct
0.000 0.000 0.000 Zn
0.000 0.000 0.500 Cr
0.500 0.500 0.278 Se
0.500 0.500 0.722 Se
```


Ordered ρ results: 6378; 5560; 5007; 6107; 4535; 6518; 5924; 5911; 4574; 4519; 5977; 6399; unit kg/m3.
Ordered N(E_F) results: 2.912; 1.251; 1.344; 2.910; 2.029; 4.019; 1.097; 1.898; 2.976; 1.999; 1.086; 2.507; unit states/eV per cell.
Ordered total magnetic moment results: 6.81; 4.00; 3.98; 3.87; 4.00; 3.93; 3.73; 0.00; 4.03; 4.96; 3.90; 2.77; unit μB per formula unit.